# Zn7Cu6Ni16

A geometry-optimized Zn7Cu6Ni16 structure (PBE, the Alexandria database).

Cell lengths 8.0329, 8.0329, 8.0329 Å; angles 60.00, 60.00, 60.00 degrees
With the nearest neighbours (Å) after each atom.
Sites, in units of the cell vectors:
Ni: 0.8324 0.5029 0.8324  3 Zn 2.32, 3 Ni 2.52
Ni: 0.3791 0.3791 0.8628  4 Zn 2.38-2.49, 3 Ni 2.52, 3 Cu 2.65
Cu: 0.2211 0.7789 0.2211  8 Ni 2.65-2.76, 4 Zn 2.86
Ni: 0.8324 0.8324 0.8324  3 Zn 2.32, 3 Ni 2.52
Cu: 0.2211 0.7789 0.7789  8 Ni 2.65-2.76, 4 Zn 2.86
Zn: 0.0000 0.0000 0.5000  8 Ni 2.32-2.49
Ni: 0.1676 0.4971 0.1676  3 Zn 2.32, 3 Ni 2.52
Zn: 0.5000 0.5000 0.0000  8 Ni 2.32-2.49
Zn: 0.0000 0.5000 0.0000  8 Ni 2.32-2.49
Cu: 0.7789 0.2211 0.7789  8 Ni 2.65-2.76, 4 Zn 2.86
Ni: 0.8628 0.3791 0.3791  4 Zn 2.38-2.49, 3 Ni 2.52, 3 Cu 2.65
Zn: 0.5000 0.0000 0.0000  8 Ni 2.32-2.49
Ni: 0.6209 0.1372 0.6209  4 Zn 2.38-2.49, 3 Ni 2.52, 3 Cu 2.65
Ni: 0.6209 0.6209 0.1372  4 Zn 2.38-2.49, 3 Ni 2.52, 3 Cu 2.65
Ni: 0.5029 0.8324 0.8324  3 Zn 2.32, 3 Ni 2.52
Cu: 0.2211 0.2211 0.7789  8 Ni 2.65-2.76, 4 Zn 2.86
Ni: 0.1676 0.1676 0.1676  3 Zn 2.32, 3 Ni 2.52
Ni: 0.8324 0.8324 0.5029  3 Zn 2.32, 3 Ni 2.52
Zn: 0.5000 0.5000 0.5000  8 Ni 2.38
Ni: 0.1676 0.1676 0.4971  3 Zn 2.32, 3 Ni 2.52
Ni: 0.3791 0.8628 0.3791  4 Zn 2.38-2.49, 3 Ni 2.52, 3 Cu 2.65
Zn: 0.5000 0.0000 0.5000  8 Ni 2.32-2.49
Zn: 0.0000 0.5000 0.5000  8 Ni 2.32-2.49
Cu: 0.7789 0.7789 0.2211  8 Ni 2.65-2.76, 4 Zn 2.86
Ni: 0.3791 0.3791 0.3791  4 Zn 2.38-2.49, 3 Ni 2.52, 3 Cu 2.65
Ni: 0.4971 0.1676 0.1676  3 Zn 2.32, 3 Ni 2.52
Ni: 0.1372 0.6209 0.6209  4 Zn 2.38-2.49, 3 Ni 2.52, 3 Cu 2.65
Cu: 0.7789 0.2211 0.2211  8 Ni 2.65-2.76, 4 Zn 2.86
Ni: 0.6209 0.6209 0.6209  4 Zn 2.38-2.49, 3 Ni 2.52, 3 Cu 2.65

The calculation puts the magnetization at 0.00 μB/f.u. The energy of formation from the pure elements is 62 meV/atom. As for the symmetry: Fm-3m. The total energy comes out at -4.282 eV per atom. For the calculated density, the calculation gives 8.1 g cm⁻³.